1.
{
  "formula": "Pr2Y3Ho3",
  "functional": "PBE",
  "state": "optimized geometry",
  "magmom_total_mub_per_cell": 0.00,
  "e_form_ev_per_atom": 0.0045,
  "polymorph_energy_mev_per_atom": 0,
  "crystal_system": "monoclinic",
  "lattice_angstrom": [[11.9978, -1.8052, 0.0000], [11.9978, 1.8052, 0.0000], [-1.6252, 0.0000, 6.0338]],
  "species": ["Pr", "Pr", "Y", "Y", "Y", "Ho", "Ho", "Ho"],
  "frac_coords": [[0.2492, 0.2492, 0.2477], [0.7508, 0.7508, 0.7523], [0.0000, 0.0000, 0.0000], [0.1233, 0.1233, 0.4578], [0.8767, 0.8767, 0.5422], [0.3768, 0.3768, 0.0443], [0.5000, 0.5000, 0.5000], [0.6232, 0.6232, 0.9557]]
}


2.
{
  "formula": "Pr4Y2Ho",
  "functional": "PBE",
  "state": "optimized geometry",
  "magmom_total_mub_per_cell": 0.00,
  "e_form_ev_per_atom": 0.4714,
  "polymorph_energy_mev_per_atom": 413,
  "crystal_system": "orthorhombic",
  "lattice_angstrom": [[3.1162, -6.5669, 0.0000], [3.1162, 6.5669, 0.0000], [0.0000, 0.0000, 6.0764]],
  "species": ["Pr", "Pr", "Pr", "Pr", "Y", "Y", "Ho"],
  "frac_coords": [[0.1363, 0.8637, 0.0000], [0.3081, 0.6919, 0.5000], [0.6919, 0.3081, 0.5000], [0.8637, 0.1363, 0.0000], [0.3867, 0.6133, 0.0000], [0.6133, 0.3867, 0.0000], [0.0000, 0.0000, 0.5000]]
}


3.
{
  "formula": "Pr8YHo2",
  "functional": "PBE",
  "state": "optimized geometry",
  "magmom_total_mub_per_cell": 0.00,
  "e_form_ev_per_atom": 0.1095,
  "polymorph_energy_mev_per_atom": 0,
  "crystal_system": "orthorhombic",
  "lattice_angstrom": [[-2.8771, 4.1905, 8.0961], [2.8771, -4.1905, 8.0961], [2.8771, 4.1905, -8.0961]],
  "species": ["Pr", "Pr", "Pr", "Pr", "Pr", "Pr", "Pr", "Pr", "Y", "Ho", "Ho"],
  "frac_coords": [[0.1604, 0.3633, 0.7972], [0.1624, 0.1624, 0.0000], [0.2948, 0.0000, 0.2948], [0.4339, 0.6367, 0.7972], [0.5661, 0.3633, 0.2028], [0.7052, 0.0000, 0.7052], [0.8376, 0.8376, 0.0000], [0.8396, 0.6367, 0.2028], [0.0000, 0.5000, 0.5000], [0.2985, 0.7985, 0.5000], [0.7015, 0.2015, 0.5000]]
}


4.
{
  "formula": "Pr2Y5Ho4",
  "functional": "PBE",
  "state": "optimized geometry",
  "magmom_total_mub_per_cell": 0.00,
  "e_form_ev_per_atom": 0.1611,
  "polymorph_energy_mev_per_atom": 9,
  "crystal_system": "monoclinic",
  "lattice_angstrom": [[8.3019, -3.3462, 0.0000], [8.3019, 3.3462, 0.0000], [-1.1198, 0.0000, 6.5977]],
  "species": ["Pr", "Pr", "Y", "Y", "Y", "Y", "Y", "Ho", "Ho", "Ho", "Ho"],
  "frac_coords": [[0.2018, 0.2018, 0.2972], [0.7982, 0.7982, 0.7028], [0.0000, 0.0000, 0.5000], [0.1729, 0.6485, 0.0919], [0.3515, 0.8271, 0.9081], [0.6485, 0.1729, 0.0919], [0.8271, 0.3515, 0.9081], [0.2442, 0.2442, 0.8032], [0.4134, 0.4134, 0.5954], [0.5866, 0.5866, 0.4046], [0.7558, 0.7558, 0.1968]]
}


5.
{
  "formula": "Pr12YHo6",
  "functional": "PBE",
  "state": "optimized geometry",
  "magmom_total_mub_per_cell": 0.00,
  "e_form_ev_per_atom": 0.2340,
  "polymorph_energy_mev_per_atom": 105,
  "crystal_system": "trigonal",
  "lattice_angstrom": [[7.4780, 4.3174, 3.5167], [-7.4780, 4.3174, 3.5167], [0.0000, -8.6348, 3.5167]],
  "species": ["Pr", "Pr", "Pr", "Pr", "Pr", "Pr", "Pr", "Pr", "Pr", "Pr", "Pr", "Pr", "Y", "Ho", "Ho", "Ho", "Ho", "Ho", "Ho"],
  "frac_coords": [[0.1317, 0.8263, 0.2789], [0.1737, 0.7211, 0.8683], [0.1929, 0.5811, 0.4837], [0.2789, 0.1317, 0.8263], [0.4189, 0.5163, 0.8071], [0.4837, 0.1929, 0.5811], [0.5163, 0.8071, 0.4189], [0.5811, 0.4837, 0.1929], [0.7211, 0.8683, 0.1737], [0.8071, 0.4189, 0.5163], [0.8263, 0.2789, 0.1317], [0.8683, 0.1737, 0.7211], [0.0000, 0.0000, 0.0000], [0.0769, 0.1899, 0.4548], [0.1899, 0.4548, 0.0769], [0.4548, 0.0769, 0.1899], [0.5452, 0.9231, 0.8101], [0.8101, 0.5452, 0.9231], [0.9231, 0.8101, 0.5452]]
}


6.
{
  "formula": "Pr2Y5Ho6",
  "functional": "PBE",
  "state": "optimized geometry",
  "magmom_total_mub_per_cell": 0.00,
  "e_form_ev_per_atom": 0.1022,
  "crystal_system": "orthorhombic",
  "lattice_angstrom": [[11.7022, 0.0000, 0.0000], [0.0000, 20.3256, 0.0000], [0.0000, 0.0000, 3.5960]],
  "species": ["Pr", "Pr", "Pr", "Pr", "Y", "Y", "Y", "Y", "Y", "Y", "Y", "Y", "Y", "Y", "Ho", "Ho", "Ho", "Ho", "Ho", "Ho", "Ho", "Ho", "Ho", "Ho", "Ho", "Ho"],
  "frac_coords": [[0.1692, 0.2183, 0.0000], [0.3308, 0.7183, 0.0000], [0.6692, 0.2817, 0.0000], [0.8308, 0.7817, 0.0000], [0.0000, 0.5000, 0.5000], [0.0912, 0.7806, 0.5000], [0.1993, 0.0543, 0.5000], [0.3007, 0.5543, 0.5000], [0.4088, 0.2806, 0.5000], [0.5000, 0.0000, 0.5000], [0.5912, 0.7194, 0.5000], [0.6993, 0.4457, 0.5000], [0.8007, 0.9457, 0.5000], [0.9088, 0.2194, 0.5000], [0.0621, 0.9245, 0.0000], [0.0764, 0.6367, 0.0000], [0.1790, 0.3743, 0.5000], [0.3210, 0.8743, 0.5000], [0.4236, 0.1367, 0.0000], [0.4379, 0.4245, 0.0000], [0.5621, 0.5755, 0.0000], [0.5764, 0.8633, 0.0000], [0.6790, 0.1257, 0.5000], [0.8210, 0.6257, 0.5000], [0.9236, 0.3633, 0.0000], [0.9379, 0.0755, 0.0000]]
}


7.
{
  "formula": "Pr3Y2Ho7",
  "functional": "PBE",
  "state": "optimized geometry",
  "magmom_total_mub_per_cell": 0.00,
  "e_form_ev_per_atom": 0.0888,
  "crystal_system": "monoclinic",
  "lattice_angstrom": [[6.3680, 0.0000, 0.0000], [0.0000, 3.5386, 0.0000], [-1.9155, 0.0000, 17.4995]],
  "species": ["Pr", "Pr", "Pr", "Y", "Y", "Ho", "Ho", "Ho", "Ho", "Ho", "Ho", "Ho"],
  "frac_coords": [[0.0000, 0.0000, 0.0000], [0.0475, 0.5000, 0.6588], [0.9525, 0.5000, 0.3412], [0.4449, 0.0000, 0.3261], [0.5551, 0.0000, 0.6739], [0.2299, 0.5000, 0.1650], [0.2470, 0.0000, 0.5002], [0.2764, 0.0000, 0.8345], [0.5000, 0.5000, 0.0000], [0.7236, 0.0000, 0.1655], [0.7530, 0.0000, 0.4998], [0.7701, 0.5000, 0.8350]]
}


8.
{
  "formula": "PrY2Ho9",
  "functional": "PBE",
  "state": "optimized geometry",
  "magmom_total_mub_per_cell": 0.00,
  "e_form_ev_per_atom": 0.0456,
  "polymorph_energy_mev_per_atom": 21,
  "crystal_system": "hexagonal",
  "lattice_angstrom": [[11.2314, 0.0000, 0.0000], [-5.6157, 9.7267, 0.0000], [0.0000, 0.0000, 3.5051]],
  "species": ["Pr", "Y", "Y", "Ho", "Ho", "Ho", "Ho", "Ho", "Ho", "Ho", "Ho", "Ho"],
  "frac_coords": [[0.0000, 0.0000, 0.0000], [0.3333, 0.6667, 0.0000], [0.6667, 0.3333, 0.0000], [0.0000, 0.5000, 0.0000], [0.1778, 0.3557, 0.5000], [0.1778, 0.8222, 0.5000], [0.3557, 0.1778, 0.5000], [0.5000, 0.0000, 0.0000], [0.5000, 0.5000, 0.0000], [0.6443, 0.8222, 0.5000], [0.8222, 0.1778, 0.5000], [0.8222, 0.6443, 0.5000]]
}


9.
{
  "formula": "PrY2Ho7",
  "functional": "PBE",
  "state": "optimized geometry",
  "magmom_total_mub_per_cell": 0.00,
  "e_form_ev_per_atom": 0.0218,
  "polymorph_energy_mev_per_atom": 0,
  "crystal_system": "triclinic",
  "lattice_angstrom": [[6.1525, 0.0000, 0.0000], [2.0427, 6.8058, 0.0000], [2.0404, 1.2428, 7.5720]],
  "species": ["Pr", "Y", "Y", "Ho", "Ho", "Ho", "Ho", "Ho", "Ho", "Ho"],
  "frac_coords": [[0.0000, 0.0000, 0.0000], [0.2023, 0.7984, 0.5992], [0.7977, 0.2016, 0.4008], [0.0000, 0.5000, 0.0000], [0.1994, 0.3013, 0.5999], [0.3999, 0.1004, 0.2000], [0.4000, 0.5988, 0.2003], [0.6000, 0.4012, 0.7997], [0.6001, 0.8996, 0.8000], [0.8006, 0.6987, 0.4001]]
}


10.
{
  "formula": "Pr7Y2Ho3",
  "functional": "PBE",
  "state": "optimized geometry",
  "magmom_total_mub_per_cell": 0.00,
  "e_form_ev_per_atom": 0.0690,
  "polymorph_energy_mev_per_atom": 0,
  "crystal_system": "monoclinic",
  "lattice_angstrom": [[6.5292, 0.0000, 0.0000], [0.0000, 3.5869, 0.0000], [-1.7901, 0.0000, 17.6114]],
  "species": ["Pr", "Pr", "Pr", "Pr", "Pr", "Pr", "Pr", "Y", "Y", "Ho", "Ho", "Ho"],
  "frac_coords": [[0.0000, 0.0000, 0.0000], [0.2263, 0.5000, 0.1725], [0.2586, 0.5000, 0.4937], [0.2775, 0.0000, 0.8333], [0.7225, 0.0000, 0.1667], [0.7414, 0.5000, 0.5063], [0.7737, 0.5000, 0.8275], [0.0589, 0.5000, 0.6697], [0.9411, 0.5000, 0.3303], [0.4561, 0.0000, 0.3404], [0.5000, 0.5000, 0.0000], [0.5439, 0.0000, 0.6596]]
}


11.
{
  "formula": "Pr4YHo2",
  "functional": "PBE",
  "state": "optimized geometry",
  "magmom_total_mub_per_cell": 0.00,
  "e_form_ev_per_atom": 0.1222,
  "polymorph_energy_mev_per_atom": 62,
  "crystal_system": "monoclinic",
  "lattice_angstrom": [[6.2987, 0.0000, 0.0000], [0.0000, 6.7129, 0.0000], [-2.9020, 0.0000, 11.3256]],
  "species": ["Pr", "Pr", "Pr", "Pr", "Pr", "Pr", "Pr", "Pr", "Y", "Y", "Ho", "Ho", "Ho", "Ho"],
  "frac_coords": [[0.0447, 0.2500, 0.3641], [0.1510, 0.2500, 0.9520], [0.3545, 0.5117, 0.2155], [0.3545, 0.9883, 0.2155], [0.6455, 0.0117, 0.7845], [0.6455, 0.4883, 0.7845], [0.8490, 0.7500, 0.0480], [0.9553, 0.7500, 0.6359], [0.1478, 0.2500, 0.6626], [0.8522, 0.7500, 0.3374], [0.2889, 0.7500, 0.9219], [0.3905, 0.7500, 0.5069], [0.6095, 0.2500, 0.4931], [0.7111, 0.2500, 0.0781]]
}


12.
{
  "formula": "Pr2YHo9",
  "functional": "PBE",
  "state": "optimized geometry",
  "magmom_total_mub_per_cell": 0.01,
  "e_form_ev_per_atom": 0.0723,
  "polymorph_energy_mev_per_atom": 47,
  "crystal_system": "hexagonal",
  "lattice_angstrom": [[11.2693, 0.0000, 0.0000], [-5.6347, 9.7595, 0.0000], [0.0000, 0.0000, 3.4996]],
  "species": ["Pr", "Pr", "Y", "Ho", "Ho", "Ho", "Ho", "Ho", "Ho", "Ho", "Ho", "Ho"],
  "frac_coords": [[0.3333, 0.6667, 0.0000], [0.6667, 0.3333, 0.0000], [0.0000, 0.0000, 0.0000], [0.0000, 0.5000, 0.0000], [0.1736, 0.3472, 0.5000], [0.1736, 0.8264, 0.5000], [0.3472, 0.1736, 0.5000], [0.5000, 0.0000, 0.0000], [0.5000, 0.5000, 0.0000], [0.6528, 0.8264, 0.5000], [0.8264, 0.1736, 0.5000], [0.8264, 0.6528, 0.5000]]
}


13.
{
  "formula": "Pr4Y3Ho",
  "functional": "PBE",
  "state": "optimized geometry",
  "magmom_total_mub_per_cell": 0.00,
  "e_form_ev_per_atom": 0.0261,
  "polymorph_energy_mev_per_atom": 0,
  "crystal_system": "orthorhombic",
  "lattice_angstrom": [[11.7037, 0.0000, 0.0000], [0.0000, 7.3833, 0.0000], [0.0000, 0.0000, 6.3659]],
  "species": ["Pr", "Pr", "Pr", "Pr", "Pr", "Pr", "Pr", "Pr", "Y", "Y", "Y", "Y", "Y", "Y", "Ho", "Ho"],
  "frac_coords": [[0.0000, 0.1272, 0.0000], [0.0000, 0.8724, 0.5043], [0.2481, 0.1276, 0.3360], [0.2519, 0.8724, 0.8360], [0.5000, 0.1276, 0.0043], [0.5000, 0.8728, 0.5000], [0.7481, 0.8724, 0.8360], [0.7519, 0.1276, 0.3360], [0.0000, 0.6219, 0.0018], [0.2499, 0.3789, 0.8349], [0.2501, 0.6211, 0.3349], [0.5000, 0.3781, 0.5018], [0.7501, 0.3789, 0.8349], [0.7499, 0.6211, 0.3349], [0.0000, 0.3795, 0.5005], [0.5000, 0.6205, 0.0005]]
}


14.
{
  "formula": "Pr12Y2Ho5",
  "functional": "PBE",
  "state": "optimized geometry",
  "magmom_total_mub_per_cell": 0.00,
  "e_form_ev_per_atom": 0.1310,
  "polymorph_energy_mev_per_atom": 11,
  "crystal_system": "monoclinic",
  "lattice_angstrom": [[7.6882, -5.3348, 0.0000], [7.6882, 5.3348, 0.0000], [-0.5272, 0.0000, 8.1333]],
  "species": ["Pr", "Pr", "Pr", "Pr", "Pr", "Pr", "Pr", "Pr", "Pr", "Pr", "Pr", "Pr", "Y", "Y", "Ho", "Ho", "Ho", "Ho", "Ho"],
  "frac_coords": [[0.0550, 0.0550, 0.2127], [0.0900, 0.5388, 0.7074], [0.1203, 0.6660, 0.1129], [0.3340, 0.8797, 0.8871], [0.3654, 0.3654, 0.3906], [0.4612, 0.9100, 0.2926], [0.5388, 0.0900, 0.7074], [0.6346, 0.6346, 0.6094], [0.6660, 0.1203, 0.1129], [0.8797, 0.3340, 0.8871], [0.9100, 0.4612, 0.2926], [0.9450, 0.9450, 0.7873], [0.2332, 0.7668, 0.5000], [0.7668, 0.2332, 0.5000], [0.1552, 0.1552, 0.5962], [0.2584, 0.2584, 0.0114], [0.5000, 0.5000, 0.0000], [0.7416, 0.7416, 0.9886], [0.8448, 0.8448, 0.4038]]
}


15.
{
  "formula": "Pr5Y3Ho",
  "functional": "PBE",
  "state": "optimized geometry",
  "magmom_total_mub_per_cell": 0.00,
  "e_form_ev_per_atom": 0.5527,
  "polymorph_energy_mev_per_atom": 287,
  "crystal_system": "monoclinic",
  "lattice_angstrom": [[5.9950, -5.7827, 0.0000], [5.9950, 5.7827, 0.0000], [-5.3857, 0.0000, 10.2205]],
  "species": ["Pr", "Pr", "Pr", "Pr", "Pr", "Pr", "Pr", "Pr", "Pr", "Pr", "Y", "Y", "Y", "Y", "Y", "Y", "Ho", "Ho"],
  "frac_coords": [[0.0072, 0.0072, 0.3728], [0.0643, 0.5467, 0.3528], [0.1884, 0.1884, 0.9207], [0.2364, 0.7636, 0.0000], [0.4533, 0.9357, 0.6472], [0.5467, 0.0643, 0.3528], [0.7636, 0.2364, 0.0000], [0.8116, 0.8116, 0.0793], [0.9357, 0.4533, 0.6472], [0.9928, 0.9928, 0.6272], [0.1505, 0.1505, 0.2078], [0.2926, 0.2926, 0.6347], [0.5000, 0.5000, 0.0000], [0.5000, 0.5000, 0.5000], [0.7074, 0.7074, 0.3653], [0.8495, 0.8495, 0.7922], [0.4115, 0.4115, 0.2059], [0.5885, 0.5885, 0.7941]]
}


16.
{
  "formula": "Pr2Y3Ho8",
  "functional": "PBE",
  "state": "optimized geometry",
  "magmom_total_mub_per_cell": 0.00,
  "e_form_ev_per_atom": 0.2433,
  "crystal_system": "orthorhombic",
  "lattice_angstrom": [[3.8078, -10.4415, 0.0000], [3.8078, 10.4415, 0.0000], [0.0000, 0.0000, 5.5341]],
  "species": ["Pr", "Pr", "Y", "Y", "Y", "Ho", "Ho", "Ho", "Ho", "Ho", "Ho", "Ho", "Ho"],
  "frac_coords": [[0.2406, 0.7594, 0.0000], [0.7594, 0.2406, 0.0000], [0.0000, 0.0000, 0.0000], [0.2864, 0.2864, 0.5000], [0.7136, 0.7136, 0.5000], [0.1285, 0.8715, 0.5000], [0.1802, 0.3938, 0.0000], [0.3389, 0.6611, 0.5000], [0.3938, 0.1802, 0.0000], [0.6062, 0.8198, 0.0000], [0.6611, 0.3389, 0.5000], [0.8198, 0.6062, 0.0000], [0.8715, 0.1285, 0.5000]]
}


17.
{
  "formula": "Pr3YHo3",
  "functional": "PBE",
  "state": "optimized geometry",
  "magmom_total_mub_per_cell": 0.00,
  "e_form_ev_per_atom": 0.2533,
  "polymorph_energy_mev_per_atom": 230,
  "crystal_system": "trigonal",
  "lattice_angstrom": [[4.3700, 2.5230, 7.3158], [-4.3700, 2.5230, 7.3158], [0.0000, -5.0460, 7.3158]],
  "species": ["Pr", "Pr", "Pr", "Pr", "Pr", "Pr", "Y", "Y", "Ho", "Ho", "Ho", "Ho", "Ho", "Ho"],
  "frac_coords": [[0.0631, 0.8196, 0.2963], [0.1804, 0.7037, 0.9369], [0.2963, 0.0631, 0.8196], [0.7037, 0.9369, 0.1804], [0.8196, 0.2963, 0.0631], [0.9369, 0.1804, 0.7037], [0.3495, 0.3495, 0.3495], [0.6505, 0.6505, 0.6505], [0.0618, 0.5721, 0.7265], [0.2735, 0.9382, 0.4279], [0.4279, 0.2735, 0.9382], [0.5721, 0.7265, 0.0618], [0.7265, 0.0618, 0.5721], [0.9382, 0.4279, 0.2735]]
}


18.
{
  "formula": "PrYHo5",
  "functional": "PBE",
  "state": "optimized geometry",
  "magmom_total_mub_per_cell": 0.00,
  "e_form_ev_per_atom": 0.1902,
  "polymorph_energy_mev_per_atom": 139,
  "crystal_system": "monoclinic",
  "lattice_angstrom": [[8.2062, -3.2814, 0.0000], [8.2062, 3.2814, 0.0000], [-6.2868, 0.0000, 8.5751]],
  "species": ["Pr", "Pr", "Y", "Y", "Ho", "Ho", "Ho", "Ho", "Ho", "Ho", "Ho", "Ho", "Ho", "Ho"],
  "frac_coords": [[0.0000, 0.5000, 0.0000], [0.5000, 0.0000, 0.5000], [0.0126, 0.9874, 0.2500], [0.9874, 0.0126, 0.7500], [0.0806, 0.5842, 0.4155], [0.1639, 0.6540, 0.9022], [0.3460, 0.8361, 0.5978], [0.4158, 0.9194, 0.0845], [0.4896, 0.5104, 0.2500], [0.5104, 0.4896, 0.7500], [0.5842, 0.0806, 0.9155], [0.6540, 0.1639, 0.4022], [0.8361, 0.3460, 0.0978], [0.9194, 0.4158, 0.5845]]
}


19.
{
  "formula": "Pr5Y2Ho2",
  "functional": "PBE",
  "state": "optimized geometry",
  "magmom_total_mub_per_cell": 0.00,
  "e_form_ev_per_atom": 0.0186,
  "polymorph_energy_mev_per_atom": 0,
  "crystal_system": "monoclinic",
  "lattice_angstrom": [[5.7648, -2.5779, 0.0000], [5.7648, 2.5779, 0.0000], [-3.4318, 0.0000, 10.3566]],
  "species": ["Pr", "Pr", "Pr", "Pr", "Pr", "Y", "Y", "Ho", "Ho"],
  "frac_coords": [[0.0000, 0.0000, 0.0000], [0.3331, 0.3331, 0.4450], [0.3340, 0.3340, 0.1116], [0.6660, 0.6660, 0.8884], [0.6669, 0.6669, 0.5550], [0.0005, 0.0005, 0.3330], [0.9995, 0.9995, 0.6670], [0.3319, 0.3319, 0.7761], [0.6681, 0.6681, 0.2239]]
}